(1)
The following is a PBE calculation of La2Nd2Ho7 after structural relaxation, from the Alexandria database.

abc: 8.1578 8.1578 6.1089
angles: 106.40 106.40 91.40
With the nearest neighbours (Å) after each atom.
Sites, in units of the cell vectors:
1 La 0.2101 0.7899 0.0000  6 Ho 3.34-3.54
2 La 0.7899 0.2101 0.0000  6 Ho 3.34-3.54
3 Nd 0.4005 0.4005 0.6858  7 Ho 3.42-3.78, 2 Nd 3.58-3.80
4 Nd 0.5995 0.5995 0.3142  7 Ho 3.42-3.78, 2 Nd 3.58-3.80
5 Ho 0.0000 0.0000 0.5000  6 Ho 3.31-3.47
6 Ho 0.0645 0.5907 0.3282  5 Ho 3.26-3.63, 2 La 3.34-3.50
7 Ho 0.2371 0.2371 0.0779  5 Ho 3.40-3.59, 3 Nd 3.42-3.78, 2 La 3.54
8 Ho 0.4093 0.9355 0.6718  5 Ho 3.26-3.63, 2 La 3.34-3.50
9 Ho 0.5907 0.0645 0.3282  5 Ho 3.26-3.63, 2 La 3.34-3.50
10 Ho 0.7629 0.7629 0.9221  5 Ho 3.40-3.59, 3 Nd 3.42-3.78, 2 La 3.54
11 Ho 0.9355 0.4093 0.6718  5 Ho 3.26-3.63, 2 La 3.34-3.50

ΔE_f (eV per atom): 0.1546
Space group: C2/m



(2)
The following is a PBE calculation of CrAsRu2 after structural relaxation, from the Alexandria database.

abc: 4.6728 4.6728 4.4385
angles: 105.14 105.14 36.75
With the nearest neighbours (Å) after each atom.
Sites, in units of the cell vectors:
1 Cr 0.0000 0.0000 0.0000  7 Ru 2.51-2.68, 2 As 2.74
2 As 0.2534 0.2534 0.6474  7 Ru 2.51-2.74, 2 Cr 2.74
3 Ru 0.5148 0.5148 0.5108  3 As 2.51-2.55, 4 Cr 2.66-2.68
4 Ru 0.7398 0.7398 0.1213  3 Cr 2.51-2.52, 4 As 2.60-2.74

ΔE_f (eV per atom): 0.0042
Space group: Cm



(3)
The following is a PBE calculation of KTcO3 after structural relaxation, from the Alexandria database.

abc: 8.0916 8.0916 5.2001
angles: 90.00 90.00 136.59
With the nearest neighbours (Å) after each atom.
Sites, in units of the cell vectors:
1 K 0.1775 0.8225 0.7500  6 O 2.84-3.05
2 K 0.8225 0.1775 0.2500  6 O 2.84-3.05
3 Tc 0.4116 0.5884 0.7500  4 O 1.78-1.86
4 Tc 0.5884 0.4116 0.2500  4 O 1.78-1.86
5 O 0.1020 0.4209 0.7500  1 Tc 1.78
6 O 0.4209 0.1020 0.2500  1 Tc 1.78
7 O 0.5000 0.5000 0.0000  2 Tc 1.86
8 O 0.5000 0.5000 0.5000  2 Tc 1.86
9 O 0.5791 0.8980 0.7500  1 Tc 1.78
10 O 0.8980 0.5791 0.2500  1 Tc 1.78

Uncorrected formation energy (eV/atom): -1.414
Space group: Cmcm



(4)
The following is a PBE calculation of TeAu2Br after structural relaxation, from the Alexandria database.

abc: 3.1481 4.8622 6.2721
angles: 90.00 90.00 90.00
With the nearest neighbours (Å) after each atom.
Sites, in units of the cell vectors:
1 Te 0.0000 0.0000 0.0000  4 Br 2.90, 2 Te 3.15
2 Au 0.0000 0.5000 0.5000  6 Au 2.90-3.15
3 Au 0.5000 0.0000 0.5000  6 Au 2.90-3.15
4 Br 0.5000 0.5000 0.0000  4 Te 2.90, 2 Br 3.15

Uncorrected formation energy (eV/atom): 0.380
Polymorph energy (0 for the lowest one) (eV/f.u.): 1.65
Space group: Pmmm



(5)
The following is a PBE calculation of AlCdS2 after structural relaxation, from the Alexandria database.

abc: 7.5410 7.5410 7.5410
angles: 30.64 30.64 30.64
With the nearest neighbours (Å) after each atom.
Sites, in units of the cell vectors:
1 Al 0.0000 0.0000 0.0000  2 S 2.18
2 Cd 0.5000 0.5000 0.5000  6 S 2.70
3 S 0.1013 0.1013 0.1013  1 Al 2.18
4 S 0.8987 0.8987 0.8987  1 Al 2.18

Uncorrected formation energy (eV/atom): -0.203
Polymorph energy (0 for the lowest one) (eV/f.u.): 2.02
Space group: R-3m



(6)
The following is a PBE calculation of La3Ag2Ru after structural relaxation, from the Alexandria database.

abc: 7.9539 7.9539 8.1878
angles: 104.94 104.94 45.11
With the nearest neighbours (Å) after each atom.
Sites, in units of the cell vectors:
1 La 0.9997 0.0003 0.2500  2 Ru 3.05-3.06, 4 Ag 3.29-3.30
2 La 0.0003 0.9997 0.7500  2 Ru 3.05-3.06, 4 Ag 3.29-3.30
3 La 0.3636 0.3667 0.9332  2 Ru 2.79-2.80, 1 Ag 3.12
4 La 0.3667 0.3636 0.4332  2 Ru 2.79-2.80, 1 Ag 3.12
5 La 0.6333 0.6364 0.5668  2 Ru 2.79-2.80, 1 Ag 3.12
6 La 0.6364 0.6333 0.0668  2 Ru 2.79-2.80, 1 Ag 3.12
7 Ag 0.1811 0.1849 0.5921  6 La 3.12-3.30
8 Ag 0.1849 0.1811 0.0921  6 La 3.12-3.30
9 Ag 0.8151 0.8189 0.9079  6 La 3.12-3.30
10 Ag 0.8189 0.8151 0.4079  6 La 3.12-3.30
11 Ru 0.4987 0.5013 0.2500  6 La 2.79-3.06
12 Ru 0.5013 0.4987 0.7500  6 La 2.79-3.06

ΔE_f (eV per atom): -0.1983
Polymorph energy (0 for the lowest one) (eV/f.u.): 0.36
Space group: C2/c



(7)
The following is a PBE calculation of CdReP2S after structural relaxation, from the Alexandria database.

abc: 4.6811 4.6811 4.3600
angles: 90.00 90.00 90.00
With the nearest neighbours (Å) after each atom.
Sites, in units of the cell vectors:
1 Cd 0.0000 0.0000 0.0000  8 P 3.20, 4 Re 3.31
2 Re 0.5000 0.5000 0.0000  2 S 2.18
3 P 0.0000 0.5000 0.5000  2 S 2.34
4 P 0.5000 0.0000 0.5000  2 S 2.34
5 S 0.5000 0.5000 0.5000  2 Re 2.18, 4 P 2.34

Uncorrected formation energy (eV/atom): 1.175
Polymorph energy (0 for the lowest one) (eV/f.u.): 3.56
Space group: P4/mmm



(8)
The following is a PBE calculation of Sm4YIn2 after structural relaxation, from the Alexandria database.

abc: 9.1447 9.1447 5.4796
angles: 90.00 90.00 90.00
With the nearest neighbours (Å) after each atom.
Sites, in units of the cell vectors:
1 Sm 0.0784 0.3291 0.0000  3 In 3.14-3.22, 2 Sm 3.24-3.44
2 Sm 0.1709 0.5784 0.5000  3 In 3.14-3.22, 2 Sm 3.24-3.44
3 Sm 0.3291 0.0784 0.0000  3 In 3.14-3.22, 2 Sm 3.24-3.44
4 Sm 0.4216 0.8291 0.5000  3 In 3.14-3.22, 2 Sm 3.24-3.44
5 Sm 0.5784 0.1709 0.5000  3 In 3.14-3.22, 2 Sm 3.24-3.44
6 Sm 0.6709 0.9216 0.0000  3 In 3.14-3.22, 2 Sm 3.24-3.44
7 Sm 0.8291 0.4216 0.5000  3 In 3.14-3.22, 2 Sm 3.24-3.44
8 Sm 0.9216 0.6709 0.0000  3 In 3.14-3.22, 2 Sm 3.24-3.44
9 Y 0.0000 0.0000 0.5000  2 In 3.14
10 Y 0.5000 0.5000 0.0000  2 In 3.14
11 In 0.2431 0.2431 0.5000  6 Sm 3.14-3.22, 1 Y 3.14
12 In 0.2569 0.7431 0.0000  6 Sm 3.14-3.22, 1 Y 3.14
13 In 0.7431 0.2569 0.0000  6 Sm 3.14-3.22, 1 Y 3.14
14 In 0.7569 0.7569 0.5000  6 Sm 3.14-3.22, 1 Y 3.14

ΔE_f (eV per atom): -0.1229
Polymorph energy (0 for the lowest one) (eV/f.u.): 0.77
Space group: P4_2/mnm



(9)
The following is a PBE calculation of K3Dy2ErS6 after structural relaxation, from the Alexandria database.

abc: 6.9978 6.9978 7.7288
angles: 98.68 98.68 120.00
With the nearest neighbours (Å) after each atom.
Sites, in units of the cell vectors:
1 K 0.0000 0.0000 0.0000  6 S 3.20-3.22
2 K 0.3331 0.6669 0.0000  6 S 3.20-3.22
3 K 0.6669 0.3331 0.0000  6 S 3.20-3.22
4 Dy 0.1666 0.8334 0.5000  6 S 2.77
5 Dy 0.8334 0.1666 0.5000  6 S 2.77
6 Er 0.5000 0.5000 0.5000  6 S 2.75
7 S 0.1017 0.4330 0.2988  1 Er 2.75, 2 Dy 2.77
8 S 0.2358 0.2358 0.7012  1 Er 2.75, 2 Dy 2.77
9 S 0.4330 0.1017 0.2988  1 Er 2.75, 2 Dy 2.77
10 S 0.5670 0.8983 0.7012  1 Er 2.75, 2 Dy 2.77
11 S 0.7642 0.7642 0.2988  1 Er 2.75, 2 Dy 2.77
12 S 0.8983 0.5670 0.7012  1 Er 2.75, 2 Dy 2.77

Uncorrected formation energy (eV/atom): -1.890
Space group: C2/m



(10)
The following is a PBE calculation of ZnAsP2 after structural relaxation, from the Alexandria database.

abc: 3.0181 3.0181 8.6510
angles: 90.00 90.00 116.22
With the nearest neighbours (Å) after each atom.
Sites, in units of the cell vectors:
1 Zn 0.0000 0.0000 0.0000  2 As 2.61, 2 P 2.66
2 As 0.5000 0.5000 0.7610  2 Zn 2.61
3 P 0.0000 0.0000 0.4283  2 P 2.25
4 P 0.5000 0.5000 0.2455  2 P 2.25

ΔE_f (eV per atom): 0.4496
Polymorph energy (0 for the lowest one) (eV/f.u.): 1.62
Space group: Cmm2



(11)
The following is a PBE calculation of ZrIn2Br7 after structural relaxation, from the Alexandria database.

abc: 10.1799 10.1799 11.8598
angles: 124.21 124.21 65.67
With the nearest neighbours (Å) after each atom.
Sites, in units of the cell vectors:
1 Zr 0.0508 0.9492 0.7500  6 Br 2.64-2.73
2 Zr 0.9492 0.0508 0.2500  6 Br 2.64-2.73
3 In 0.2377 0.3469 0.6299  4 Br 2.83-3.04
4 In 0.3469 0.2377 0.1299  4 Br 2.83-3.04
5 In 0.6531 0.7623 0.8701  4 Br 2.83-3.04
6 In 0.7623 0.6531 0.3701  4 Br 2.83-3.04
7 Br 0.0034 0.7377 0.0853  1 Zr 2.65
8 Br 0.0345 0.3170 0.3169  1 Zr 2.73, 1 In 2.96
9 Br 0.0684 0.7680 0.4891  1 Zr 2.64
10 Br 0.2320 0.9316 0.0109  1 Zr 2.64
11 Br 0.2623 0.9966 0.4147  1 Zr 2.65
12 Br 0.3170 0.0345 0.8169  1 Zr 2.73, 1 In 2.96
13 Br 0.4759 0.5241 0.7500  2 In 2.83
14 Br 0.5241 0.4759 0.2500  2 In 2.83
15 Br 0.6830 0.9655 0.1831  1 Zr 2.73, 1 In 2.96
16 Br 0.7377 0.0034 0.5853  1 Zr 2.65
17 Br 0.7680 0.0684 0.9891  1 Zr 2.64
18 Br 0.9316 0.2320 0.5109  1 Zr 2.64
19 Br 0.9655 0.6830 0.6831  1 Zr 2.73, 1 In 2.96
20 Br 0.9966 0.2623 0.9147  1 Zr 2.65

Uncorrected formation energy (eV/atom): -0.954
Space group: C2/c



(12)
The following is a PBE calculation of MoOs4Pb2 after structural relaxation, from the Alexandria database.

abc: 7.6986 7.6986 7.6986
angles: 143.81 143.81 52.12
With the nearest neighbours (Å) after each atom.
Sites, in units of the cell vectors:
1 Mo 0.0000 0.0000 0.0000  6 Os 2.36-2.39
2 Os 0.0000 0.5000 0.5000  2 Mo 2.39
3 Os 0.1708 0.1708 0.0000  1 Mo 2.36
4 Os 0.5000 0.0000 0.5000  2 Mo 2.39
5 Os 0.8292 0.8292 0.0000  1 Mo 2.36
6 Pb 0.3680 0.3680 0.0000  5 Os 2.73-3.01
7 Pb 0.6320 0.6320 0.0000  5 Os 2.73-3.01

ΔE_f (eV per atom): 1.9611
Space group: I4/mmm